! SrIr2Rh (PBE, optimized geometry); values from VASP
&SYSTEM
  ibrav = 0, nat = 4, ntyp = 3
/
ATOMIC_SPECIES
Sr 87.62 Sr.upf
Ir 192.22 Ir.upf
Rh 102.91 Rh.upf
ATOMIC_POSITIONS crystal
Sr 0.000 0.000 0.000
Ir 0.000 0.500 0.500
Ir 0.500 0.000 0.500
Rh 0.500 0.500 0.000
CELL_PARAMETERS angstrom
4.949 0.000 0.000
0.000 4.949 0.000
0.000 0.000 2.914
! Formation energy   210.8 kJ/mol of formula units
! DOS at the Fermi energy   1.6740 states/eV/atom
! Uncorrected energy   -24.57 eV/f.u.
! Space-group type   P4/mmm
! ρ   13.38 g cm⁻³
! Polymorph energy (0 for the lowest one)   0.355 eV/atom

***

! Mg2ZnInRh (PBE, optimized geometry); values from VASP
&SYSTEM
  ibrav = 0, nat = 5, ntyp = 4
/
ATOMIC_SPECIES
Mg 24.30 Mg.upf
Zn 65.41 Zn.upf
In 114.82 In.upf
Rh 102.91 Rh.upf
ATOMIC_POSITIONS crystal
Mg 0.000 0.000 0.000
Mg 0.343 0.343 0.000
Zn 0.784 0.784 0.000
In 0.576 0.576 0.000
Rh 0.178 0.678 0.500
CELL_PARAMETERS angstrom
-1.554 2.354 6.564
1.554 -2.354 6.564
1.554 2.354 -6.564
! Formation energy   -88.2 kJ/mol of formula units
! DOS at the Fermi energy   0.4332 states/eV/atom
! Uncorrected energy   -15.47 eV/f.u.
! Space-group type   Imm2
! ρ   5.74 g cm⁻³

***

! Pr12Nd6Th (PBE, optimized geometry); values from VASP
&SYSTEM
  ibrav = 0, nat = 19, ntyp = 3
/
ATOMIC_SPECIES
Pr 140.91 Pr.upf
Nd 144.24 Nd.upf
Th 232.04 Th.upf
ATOMIC_POSITIONS crystal
Pr 0.000 0.262 0.738
Pr 0.000 0.738 0.262
Pr 0.171 0.584 0.584
Pr 0.262 0.000 0.738
Pr 0.262 0.738 0.000
Pr 0.416 0.416 0.829
Pr 0.416 0.829 0.416
Pr 0.584 0.171 0.584
Pr 0.584 0.584 0.171
Pr 0.738 0.000 0.262
Pr 0.738 0.262 0.000
Pr 0.829 0.416 0.416
Nd 0.140 0.140 0.404
Nd 0.140 0.404 0.140
Nd 0.404 0.140 0.140
Nd 0.596 0.860 0.860
Nd 0.860 0.596 0.860
Nd 0.860 0.860 0.596
Th 0.000 0.000 0.000
CELL_PARAMETERS angstrom
6.798 3.925 4.376
-6.798 3.925 4.376
0.000 -7.849 4.376
! Formation energy   215.3 kJ/mol of formula units
! DOS at the Fermi energy   1.3355 states/eV/atom
! Uncorrected energy   -91.15 eV/f.u.
! Space-group type   R-3m
! ρ   6.61 g cm⁻³

***

! NiRu2Pt2 (PBE, optimized geometry); values from VASP
&SYSTEM
  ibrav = 0, nat = 5, ntyp = 3
/
ATOMIC_SPECIES
Ni 58.69 Ni.upf
Ru 101.07 Ru.upf
Pt 195.08 Pt.upf
ATOMIC_POSITIONS crystal
Ni 0.000 0.000 0.000
Ru 0.203 0.203 0.000
Ru 0.797 0.797 0.000
Pt 0.404 0.404 0.000
Pt 0.596 0.596 0.000
CELL_PARAMETERS angstrom
-1.363 1.363 9.483
1.363 -1.363 9.483
1.363 1.363 -9.483
! Formation energy   -21.9 kJ/mol of formula units
! DOS at the Fermi energy   1.3065 states/eV/atom
! Uncorrected energy   -36.64 eV/f.u.
! Space-group type   I4/mmm
! ρ   15.35 g cm⁻³
! Polymorph energy (0 for the lowest one)   0.000 eV/atom

***

! RbPtCl (PBE, optimized geometry); values from VASP
&SYSTEM
  ibrav = 0, nat = 6, ntyp = 3
/
ATOMIC_SPECIES
Rb 85.47 Rb.upf
Pt 195.08 Pt.upf
Cl 35.45 Cl.upf
ATOMIC_POSITIONS crystal
Rb 0.123 0.250 0.248
Rb 0.877 0.750 0.752
Pt 0.500 0.000 0.500
Pt 0.500 0.500 0.500
Cl 0.371 0.250 0.769
Cl 0.629 0.750 0.231
CELL_PARAMETERS angstrom
5.176 0.000 0.000
0.002 5.602 0.000
2.529 0.006 7.054
! Energy relative to the elements, uncorrected   -0.605 eV per atom
! DOS at the Fermi energy   0.0000 states/eV/atom
! Uncorrected energy   -10.67 eV/f.u.
! Space-group type   P-1
! ρ   5.13 g cm⁻³
! Polymorph energy (0 for the lowest one)   0.168 eV/atom

***

! La2TlSn4 (PBE, optimized geometry); values from VASP
&SYSTEM
  ibrav = 0, nat = 7, ntyp = 3
/
ATOMIC_SPECIES
La 138.91 La.upf
Tl 204.38 Tl.upf
Sn 118.71 Sn.upf
ATOMIC_POSITIONS crystal
La 0.000 0.000 0.500
La 0.500 0.500 0.000
Tl 0.000 0.000 0.000
Sn 0.000 0.500 0.000
Sn 0.000 0.500 0.500
Sn 0.500 0.000 0.000
Sn 0.500 0.000 0.500
CELL_PARAMETERS angstrom
0.000 4.667 4.979
4.652 0.000 4.979
4.652 4.667 0.000
! Formation energy   -327.7 kJ/mol of formula units
! DOS at the Fermi energy   0.6047 states/eV/atom
! Uncorrected energy   -31.63 eV/f.u.
! Space-group type   Fmmm
! ρ   7.35 g cm⁻³
! Polymorph energy (0 for the lowest one)   0.000 eV/atom

***

! Cd2RuNO (PBE, optimized geometry); values from VASP
&SYSTEM
  ibrav = 0, nat = 5, ntyp = 4
/
ATOMIC_SPECIES
Cd 112.41 Cd.upf
Ru 101.07 Ru.upf
N 14.01 N.upf
O 16.00 O.upf
ATOMIC_POSITIONS crystal
Cd 0.000 0.500 0.000
Cd 0.500 0.000 0.000
Ru 0.000 0.000 0.000
N 0.000 0.000 0.500
O 0.500 0.500 0.500
CELL_PARAMETERS angstrom
5.213 0.000 0.000
0.000 5.213 0.000
0.000 0.000 3.650
! Energy relative to the elements, uncorrected   0.628 eV per atom
! DOS at the Fermi energy   1.0837 states/eV/atom
! Uncorrected energy   -21.25 eV/f.u.
! Space-group type   P4/mmm
! ρ   5.96 g cm⁻³

***

! ZnReRh (PBE, optimized geometry); values from VASP
&SYSTEM
  ibrav = 0, nat = 3, ntyp = 3
/
ATOMIC_SPECIES
Zn 65.41 Zn.upf
Re 186.21 Re.upf
Rh 102.91 Rh.upf
ATOMIC_POSITIONS crystal
Zn 0.000 0.000 0.000
Re 0.669 0.669 0.000
Rh 0.331 0.331 0.000
CELL_PARAMETERS angstrom
-1.366 1.937 4.036
1.366 -1.937 4.036
1.366 1.937 -4.036
! Formation energy   12.3 kJ/mol of formula units
! DOS at the Fermi energy   0.7834 states/eV/atom
! Uncorrected energy   -20.95 eV/f.u.
! Space-group type   Imm2
! ρ   13.78 g cm⁻³
! Polymorph energy (0 for the lowest one)   0.217 eV/atom